# NpVOs (PBE, optimized geometry)
# Symmetry: I4_1md
# Offset from the most stable computed form in eV/atom: 0.542
# Calculated formation energy in kJ per mole of atoms: 62
data_NpVOs
_chemical_formula_sum 'Np2 V2 Os2'
_symmetry_space_group_name_H-M 'P 1'
_symmetry_Int_Tables_number 1
_symmetry_space_group_name_Hall 'P 1'
_cell_length_a 5.018
_cell_length_b 5.018
_cell_length_c 5.674
_cell_angle_alpha 116.24
_cell_angle_beta 116.24
_cell_angle_gamma 90.00
loop_
_atom_site_label
_atom_site_type_symbol
_atom_site_fract_x
_atom_site_fract_y
_atom_site_fract_z
V1 V 0.715 0.715 0.431
V2 V 0.965 0.465 0.931
Np1 Np 0.345 0.845 0.689
Np2 Np 0.095 0.095 0.189
Os1 Os 0.440 0.440 0.880
Os2 Os 0.690 0.190 0.380


# PuMgPb (PBE, optimized geometry)
# Symmetry: I4/mmm
# Calculated formation energy in kJ per mole of atoms: -6
data_PuMgPb
_chemical_formula_sum 'Pu2 Mg2 Pb2'
_symmetry_space_group_name_H-M 'P 1'
_symmetry_Int_Tables_number 1
_symmetry_space_group_name_Hall 'P 1'
_cell_length_a 4.481
_cell_length_b 4.481
_cell_length_c 8.828
_cell_angle_alpha 104.70
_cell_angle_beta 104.70
_cell_angle_gamma 90.00
loop_
_atom_site_label
_atom_site_type_symbol
_atom_site_fract_x
_atom_site_fract_y
_atom_site_fract_z
Pu1 Pu 0.673 0.673 0.345
Pu2 Pu 0.327 0.327 0.655
Mg1 Mg 0.500 0.000 0.000
Mg2 Mg 0.000 0.500 0.000
Pb1 Pb 0.130 0.130 0.260
Pb2 Pb 0.870 0.870 0.740


# Ir2RhSe (PBE, optimized geometry)
# Symmetry: P2/m
# Uncorrected energy in eV/atom: -6.744
data_Ir2RhSe
_chemical_formula_sum 'Ir2 Rh1 Se1'
_symmetry_space_group_name_H-M 'P 1'
_symmetry_Int_Tables_number 1
_symmetry_space_group_name_Hall 'P 1'
_cell_length_a 4.740
_cell_length_b 2.849
_cell_length_c 4.571
_cell_angle_alpha 89.53
_cell_angle_beta 90.00
_cell_angle_gamma 90.00
loop_
_atom_site_label
_atom_site_type_symbol
_atom_site_fract_x
_atom_site_fract_y
_atom_site_fract_z
Ir1 Ir 0.000 0.002 0.001
Ir2 Ir 0.000 0.498 0.499
Rh1 Rh 0.500 0.250 0.250
Se1 Se 0.500 0.750 0.750


# MgZr3Pd12 (PBE, optimized geometry)
# Symmetry: P4/mmm
# Calculated formation energy in kJ per mole of atoms: -72
data_MgZr3Pd12
_chemical_formula_sum 'Mg1 Zr3 Pd12'
_symmetry_space_group_name_H-M 'P 1'
_symmetry_Int_Tables_number 1
_symmetry_space_group_name_Hall 'P 1'
_cell_length_a 4.031
_cell_length_b 4.031
_cell_length_c 15.991
_cell_angle_alpha 90.00
_cell_angle_beta 90.00
_cell_angle_gamma 90.00
loop_
_atom_site_label
_atom_site_type_symbol
_atom_site_fract_x
_atom_site_fract_y
_atom_site_fract_z
Mg1 Mg 0.000 0.000 0.000
Zr1 Zr 0.000 0.000 0.244
Zr2 Zr 0.000 0.000 0.500
Zr3 Zr 0.000 0.000 0.756
Pd1 Pd 0.500 0.500 0.000
Pd2 Pd 0.500 0.500 0.250
Pd3 Pd 0.500 0.500 0.500
Pd4 Pd 0.500 0.500 0.750
Pd5 Pd 0.500 0.000 0.125
Pd6 Pd 0.500 0.000 0.375
Pd7 Pd 0.500 0.000 0.625
Pd8 Pd 0.500 0.000 0.875
Pd9 Pd 0.000 0.500 0.125
Pd10 Pd 0.000 0.500 0.375
Pd11 Pd 0.000 0.500 0.625
Pd12 Pd 0.000 0.500 0.875


# Pr4Ho2Tm (PBE, optimized geometry)
# Symmetry: Fdd2
# Offset from the most stable computed form in eV/atom: 0.000
# Calculated formation energy in kJ per mole of atoms: 6
data_Pr4Ho2Tm
_chemical_formula_sum 'Pr8 Ho4 Tm2'
_symmetry_space_group_name_H-M 'P 1'
_symmetry_Int_Tables_number 1
_symmetry_space_group_name_Hall 'P 1'
_cell_length_a 12.629
_cell_length_b 12.629
_cell_length_c 6.844
_cell_angle_alpha 97.00
_cell_angle_beta 97.00
_cell_angle_gamma 150.21
loop_
_atom_site_label
_atom_site_type_symbol
_atom_site_fract_x
_atom_site_fract_y
_atom_site_fract_z
Pr1 Pr 0.710 0.173 0.860
Pr2 Pr 0.173 0.710 0.360
Pr3 Pr 0.186 0.796 0.896
Pr4 Pr 0.796 0.186 0.396
Pr5 Pr 0.041 0.150 0.604
Pr6 Pr 0.563 0.601 0.141
Pr7 Pr 0.601 0.563 0.641
Pr8 Pr 0.150 0.041 0.104
Ho1 Ho 0.623 0.305 0.452
Ho2 Ho 0.921 0.103 0.048
Ho3 Ho 0.103 0.921 0.548
Ho4 Ho 0.305 0.623 0.952
Tm1 Tm 0.421 0.671 0.500
Tm2 Tm 0.671 0.421 0.000


# Er2VCo2 (PBE, optimized geometry)
# Symmetry: C2/c
# Calculated formation energy in kJ per mole of atoms: -19
data_Er2VCo2
_chemical_formula_sum 'Er4 V2 Co4'
_symmetry_space_group_name_H-M 'P 1'
_symmetry_Int_Tables_number 1
_symmetry_space_group_name_Hall 'P 1'
_cell_length_a 5.459
_cell_length_b 5.459
_cell_length_c 7.059
_cell_angle_alpha 80.82
_cell_angle_beta 80.82
_cell_angle_gamma 60.73
loop_
_atom_site_label
_atom_site_type_symbol
_atom_site_fract_x
_atom_site_fract_y
_atom_site_fract_z
Er1 Er 0.469 0.232 0.147
Er2 Er 0.768 0.531 0.353
Er3 Er 0.531 0.768 0.853
Er4 Er 0.232 0.469 0.647
V1 V 0.090 0.910 0.250
V2 V 0.910 0.090 0.750
Co1 Co 0.732 0.004 0.502
Co2 Co 0.996 0.268 0.998
Co3 Co 0.268 0.996 0.498
Co4 Co 0.004 0.732 0.002